Computed, not measured: YEr2Tm4Sc after structural relaxation at the PBE level of DFT.

The structure in CIF format:
```
data_YEr2Tm4Sc
_chemical_formula_sum 'Y1 Er2 Tm4 Sc1'
_space_group_name_H-M_alt 'P 1'
_space_group_IT_number 1
_cell_length_a 4.914
_cell_length_b 4.915
_cell_length_c 10.991
_cell_angle_alpha 63.44
_cell_angle_beta 90.00
_cell_angle_gamma 90.00
loop_
_space_group_symop_operation_xyz
'x,y,z'
loop_
_atom_site_label
_atom_site_type_symbol
_atom_site_fract_x
_atom_site_fract_y
_atom_site_fract_z
Y1 Y 0.500 0.500 0.000
Er1 Er 0.000 0.000 0.000
Er2 Er 0.500 0.000 0.500
Tm1 Tm 0.000 0.756 0.744
Tm2 Tm 0.000 0.244 0.256
Tm3 Tm 0.500 0.745 0.255
Tm4 Tm 0.500 0.255 0.745
Sc1 Sc 0.000 0.500 0.500
```

## Properties
* electronic total energy: -4.938 eV per atom